VASP calculation (PBE with a Hubbard U) on a relaxed Ni3AgP3H2O12 crystal.

The structure belongs to space group C2/c (No. 15); the cell edges are 11.9589, 12.1919 and 6.5139 Å and the angles 90.00°, 113.88° and 90.00°. The asymmetric unit holds Ni at (0.0000, 0.2245, 0.2500), Ni at (0.2126, 0.3371, 0.1233), Ag at (0.0000, 0.4606, 0.7500), P at (0.0000, 0.1812, 0.7500), P at (0.2216, 0.3873, 0.6128), H at (0.1153, 0.0070, 0.3085), O at (0.0353, 0.2555, 0.9637), O at (0.1080, 0.1056, 0.7663), O at (0.1381, 0.0931, 0.3435), O at (0.1574, 0.3268, 0.3865), O at (0.1624, 0.4995, 0.1037) and O at (0.2178, 0.3189, 0.8085).

The total energy is -6.066 eV per atom. For the size of the total moment, the calculation gives 23.81 Bohr magnetons per cell.